[1]
A plane-wave DFT calculation with PBE-GGA was carried out for a relaxed Mg4VPt5 crystal.

Output
For the total energy, the calculation gives -53.5 eV/cell. The space-group type is P4/mmm, No. 123.

The structure in POSCAR format:
```
Mg4VPt5
1.0
2.915 0.000 0.000
0.000 2.915 0.000
0.000 0.000 18.344
Mg V Pt
4 1 5
Direct
0.000 0.000 0.200
0.000 0.000 0.400
0.000 0.000 0.600
0.000 0.000 0.800
0.000 0.000 0.000
0.500 0.500 0.095
0.500 0.500 0.300
0.500 0.500 0.500
0.500 0.500 0.700
0.500 0.500 0.905
```


[2]
A plane-wave DFT calculation with PBE-GGA was carried out for a relaxed MgV2Pt crystal.

Output
For the total energy, the calculation gives -49.7 eV/cell. The space-group type is I-42d, No. 122.

The structure in POSCAR format:
```
MgV2Pt
1.0
7.308 0.000 0.000
0.000 7.308 0.000
3.654 3.654 2.545
Mg Pt V
2 2 4
Direct
0.500 0.500 0.000
0.250 0.750 0.500
0.000 0.000 0.000
0.750 0.250 0.500
0.664 0.125 0.250
0.086 0.625 0.250
0.375 0.336 0.750
0.875 0.914 0.750
```


| no. | DFT formation energy (eV per atom) |
| --- | --- |
| 1 | -0.781 |
| 2 | 0.261 |